Record 1
! Li2Cu2S3O12 PBE-GGA relaxed; values from VASP
&SYSTEM
  ibrav = 0, nat = 38, ntyp = 4
/
ATOMIC_SPECIES
Li 6.94 Li.upf
Cu 63.55 Cu.upf
S 32.06 S.upf
O 16.00 O.upf
CELL_PARAMETERS angstrom
6.841 -4.225 0.000
6.841 4.225 0.000
-4.928 0.000 7.980
ATOMIC_POSITIONS crystal
Li 0.137 0.322 0.042
Li 0.322 0.137 0.542
Li 0.678 0.863 0.458
Li 0.863 0.678 0.958
Cu 0.138 0.640 0.465
Cu 0.360 0.862 0.035
Cu 0.640 0.138 0.965
Cu 0.862 0.360 0.535
S 0.043 0.957 0.250
S 0.242 0.459 0.829
S 0.459 0.242 0.329
S 0.541 0.758 0.671
S 0.758 0.541 0.171
S 0.957 0.043 0.750
O 0.029 0.143 0.397
O 0.068 0.792 0.293
O 0.104 0.449 0.654
O 0.143 0.029 0.897
O 0.143 0.503 0.947
O 0.208 0.932 0.207
O 0.257 0.390 0.308
O 0.339 0.604 0.880
O 0.390 0.257 0.808
O 0.396 0.661 0.620
O 0.449 0.104 0.154
O 0.497 0.857 0.553
O 0.503 0.143 0.447
O 0.551 0.896 0.846
O 0.604 0.339 0.380
O 0.610 0.743 0.192
O 0.661 0.396 0.120
O 0.743 0.610 0.692
O 0.792 0.068 0.793
O 0.857 0.497 0.053
O 0.857 0.971 0.103
O 0.896 0.551 0.346
O 0.932 0.208 0.707
O 0.971 0.857 0.603
! Raw formation energy: -129.2 kJ per mole of atoms
! Volume: 461.4 Å³ per cell
! SG: C2/c
! Spin magnetization: 4.125 μB per cell

Record 2
! Li4Cu3SbO8 PBE-GGA relaxed; values from VASP
&SYSTEM
  ibrav = 0, nat = 16, ntyp = 4
/
ATOMIC_SPECIES
Li 6.94 Li.upf
Cu 63.55 Cu.upf
Sb 121.76 Sb.upf
O 16.00 O.upf
CELL_PARAMETERS angstrom
3.025 1.746 4.873
-3.025 1.746 4.873
0.000 -3.493 4.873
ATOMIC_POSITIONS crystal
Li 0.000 0.000 0.000
Li 0.000 0.500 0.500
Li 0.500 0.000 0.500
Li 0.500 0.500 0.000
Cu 0.000 0.000 0.500
Cu 0.000 0.500 0.000
Cu 0.500 0.000 0.000
Sb 0.500 0.500 0.500
O 0.233 0.233 0.233
O 0.263 0.263 0.732
O 0.263 0.732 0.263
O 0.268 0.737 0.737
O 0.732 0.263 0.263
O 0.737 0.268 0.737
O 0.737 0.737 0.268
O 0.767 0.767 0.767
! Raw formation energy: -122.5 kJ per mole of atoms
! D(E_F): 5.9 states/eV per cell
! Volume: 154.4 Å³ per cell
! SG: R-3m
! Spin magnetization: 4.059 μB per cell

Record 3
! Li5Cu3Sb2O10 PBE-GGA relaxed; values from VASP
&SYSTEM
  ibrav = 0, nat = 20, ntyp = 4
/
ATOMIC_SPECIES
Li 6.94 Li.upf
Cu 63.55 Cu.upf
Sb 121.76 Sb.upf
O 16.00 O.upf
CELL_PARAMETERS angstrom
5.283 0.000 0.000
-1.423 5.410 0.000
-2.030 -2.293 7.257
ATOMIC_POSITIONS crystal
Li 0.000 0.000 0.000
Li 0.085 0.199 0.693
Li 0.277 0.614 0.121
Li 0.723 0.386 0.879
Li 0.915 0.801 0.307
Cu 0.212 0.386 0.399
Cu 0.500 0.000 0.500
Cu 0.788 0.614 0.601
Sb 0.388 0.806 0.800
Sb 0.612 0.194 0.200
O 0.051 0.614 0.842
O 0.140 0.835 0.572
O 0.289 0.976 0.250
O 0.361 0.158 0.946
O 0.441 0.477 0.674
O 0.559 0.523 0.326
O 0.639 0.842 0.054
O 0.711 0.024 0.750
O 0.860 0.165 0.428
O 0.949 0.386 0.158
! Raw formation energy: -138.2 kJ per mole of atoms
! D(E_F): 5.3 states/eV per cell
! Volume: 207.4 Å³ per cell
! SG: P-1
! Spin magnetization: 1.620 μB per cell

Record 4
! Li3Cu2SbO6 PBE-GGA relaxed; values from VASP
&SYSTEM
  ibrav = 0, nat = 24, ntyp = 4
/
ATOMIC_SPECIES
Li 6.94 Li.upf
Cu 63.55 Cu.upf
Sb 121.76 Sb.upf
O 16.00 O.upf
CELL_PARAMETERS angstrom
2.813 -4.348 0.000
2.813 4.348 0.000
-0.425 0.000 9.904
ATOMIC_POSITIONS crystal
Li 0.095 0.905 0.750
Li 0.149 0.317 0.999
Li 0.317 0.149 0.499
Li 0.683 0.851 0.501
Li 0.851 0.683 0.001
Li 0.905 0.095 0.250
Cu 0.000 0.500 0.500
Cu 0.415 0.585 0.750
Cu 0.500 0.000 0.000
Cu 0.585 0.415 0.250
Sb 0.245 0.755 0.250
Sb 0.755 0.245 0.750
O 0.014 0.205 0.613
O 0.080 0.564 0.850
O 0.205 0.014 0.113
O 0.297 0.466 0.369
O 0.436 0.920 0.650
O 0.466 0.297 0.869
O 0.534 0.703 0.131
O 0.564 0.080 0.350
O 0.703 0.534 0.631
O 0.795 0.986 0.887
O 0.920 0.436 0.150
O 0.986 0.795 0.387
! Raw formation energy: -134.9 kJ per mole of atoms
! D(E_F): 1.9 states/eV per cell
! Volume: 242.3 Å³ per cell
! SG: C2/c
! Spin magnetization: 0.057 μB per cell

Record 5
! LiCuSb2O PBE-GGA relaxed; values from VASP
&SYSTEM
  ibrav = 0, nat = 5, ntyp = 4
/
ATOMIC_SPECIES
Li 6.94 Li.upf
Cu 63.55 Cu.upf
Sb 121.76 Sb.upf
O 16.00 O.upf
CELL_PARAMETERS angstrom
4.876 0.000 0.000
0.000 4.876 0.000
0.000 0.000 4.517
ATOMIC_POSITIONS crystal
Li 0.000 0.000 0.000
Cu 0.000 0.000 0.500
Sb 0.000 0.500 0.500
Sb 0.500 0.000 0.500
O 0.500 0.500 0.000
! Raw formation energy: 46.2 kJ per mole of atoms
! D(E_F): 3.8 states/eV per cell
! Volume: 107.4 Å³ per cell
! SG: P4/mmm
! Spin magnetization: 0.002 μB per cell

Record 6
! Li5Cu5Sb2O12 PBE-GGA relaxed; values from VASP
&SYSTEM
  ibrav = 0, nat = 24, ntyp = 4
/
ATOMIC_SPECIES
Li 6.94 Li.upf
Cu 63.55 Cu.upf
Sb 121.76 Sb.upf
O 16.00 O.upf
CELL_PARAMETERS angstrom
2.871 -4.349 0.000
2.871 4.349 0.000
-0.342 0.000 9.881
ATOMIC_POSITIONS crystal
Li 0.000 0.000 0.000
Li 0.253 0.230 0.755
Li 0.413 0.059 0.243
Li 0.770 0.747 0.245
Li 0.941 0.587 0.757
Cu 0.090 0.402 0.249
Cu 0.177 0.823 0.500
Cu 0.503 0.497 0.500
Cu 0.598 0.910 0.751
Cu 0.681 0.319 0.000
Sb 0.340 0.660 0.000
Sb 0.839 0.161 0.500
O 0.022 0.344 0.902
O 0.085 0.706 0.137
O 0.097 0.100 0.368
O 0.160 0.478 0.597
O 0.294 0.915 0.863
O 0.396 0.376 0.121
O 0.522 0.840 0.403
O 0.572 0.221 0.627
O 0.624 0.604 0.879
O 0.656 0.978 0.098
O 0.779 0.428 0.373
O 0.900 0.903 0.632
! Raw formation energy: -122.8 kJ per mole of atoms
! D(E_F): 4.4 states/eV per cell
! Volume: 246.8 Å³ per cell
! SG: C2
! Spin magnetization: 0.924 μB per cell